The following is a DFT calculation (PBE) of a relaxed structure of Y2GeBBr.

a b c (Å): 5.1345 4.3420 5.1345
angles (deg): 90.00 90.00 90.00
Closest atoms and distances in Å follow each position.
Positions (direct):
Y 0.0000 0.0000 0.5000  2 B 2.57
Y 0.5000 0.0000 0.0000  2 B 2.57
Ge 0.5000 0.5000 0.5000  8 Y 3.36, 4 Br 3.63
B 0.0000 0.0000 0.0000  2 Br 2.17
Br 0.0000 0.5000 0.0000  2 B 2.17

Output
DOS(E_F) in states/eV per cell: 5.0
Crystal system: tetragonal
VASP energy in eV per formula unit: -25.57
ΔE_f (raw) in eV per atom: 0.065
Theoretical density in g/cm³: 4.95

=====

The following is a DFT calculation (PBE) of a relaxed structure of ThTlZnAg.

a b c (Å): 5.0766 5.0766 5.0766
angles (deg): 60.00 60.00 60.00
Closest atoms and distances in Å follow each position.
Positions (direct):
Zn 0.7500 0.7500 0.7500  4 Tl 3.11, 4 Th 3.11
Tl 0.5000 0.5000 0.5000  4 Zn 3.11, 4 Ag 3.11
Ag 0.2500 0.2500 0.2500  4 Tl 3.11, 4 Th 3.11
Th 0.0000 0.0000 0.0000  4 Ag 3.11, 4 Zn 3.11

Output
DOS(E_F) in states/eV per cell: 2.0
Crystal system: cubic
VASP energy in eV per formula unit: -14.25
Formation energy from the elements in eV per atom: -0.084
Theoretical density in g/cm³: 10.94

=====

What is the theoretical density in the second record? 10.94 g/cm³

=====

What is the VASP energy in the first record? -25.57 eV per formula unit

=====

Among the records above, which one has the lowest VASP energy? Y2GeBBr

=====

theoretical density of number 2 (ThTlZnAg)? 10.94 g/cm³